Record 1
ZrHPb: relaxed, PBE-GGA.

Unit cell a=3.5496 b=3.5496 c=4.6949 alpha=90.00 beta=90.00 gamma=120.00
Closest atoms and distances in Å follow each position.
Atoms (fractional coordinates):
Zr1 0.0000 0.0000 0.0000  3 H 2.05
H1 0.6667 0.3333 0.0000  3 Zr 2.05
Pb1 0.3333 0.6667 0.5000  6 Zr 3.12, 6 H 3.12

Calculated values
Fermi-level density of states = 0.425 states/eV per atom
uncorrected energy = -5.51 eV per atom
SG = P-6m2 (187)



Record 2
Ho2CF: relaxed, PBE-GGA.

Unit cell a=3.5627 b=3.5627 c=17.6280 alpha=90.00 beta=90.00 gamma=120.00
Closest atoms and distances in Å follow each position.
Atoms (fractional coordinates):
Ho1 0.0000 0.0000 0.2395  3 C 2.42, 3 F 2.64
Ho2 0.0000 0.0000 0.7605  3 C 2.42, 3 F 2.64
Ho3 0.3333 0.6667 0.4272  3 C 2.42, 3 F 2.64
Ho4 0.3333 0.6667 0.9062  3 C 2.42, 3 F 2.64
Ho5 0.6667 0.3333 0.0938  3 C 2.42, 3 F 2.64
Ho6 0.6667 0.3333 0.5728  3 C 2.42, 3 F 2.64
C1 0.0000 0.0000 0.5000  6 Ho 2.42
C2 0.3333 0.6667 0.1667  6 Ho 2.42
C3 0.6667 0.3333 0.8333  6 Ho 2.42
F1 0.0000 0.0000 0.0000  6 Ho 2.64
F2 0.3333 0.6667 0.6667  6 Ho 2.64
F3 0.6667 0.3333 0.3333  6 Ho 2.64

Calculated values
Fermi-level density of states = 0.428 states/eV per atom
uncorrected energy = -6.62 eV per atom
SG = R-3m (166)



Record 3
Mn2AsIr: relaxed, PBE-GGA.

Unit cell a=8.4640 b=2.9239 c=4.5893 alpha=90.00 beta=99.03 gamma=90.00
Closest atoms and distances in Å follow each position.
Atoms (fractional coordinates):
Mn1 0.0000 0.0000 0.0000  3 Ir 2.55-2.61, 3 Mn 2.59-2.68, 4 As 2.60-2.84
Mn2 0.2488 0.5000 0.2581  3 As 2.49-2.60, 3 Mn 2.59-2.68, 4 Ir 2.68-2.77
Mn3 0.5000 0.5000 0.0000  3 Ir 2.55-2.61, 3 Mn 2.59-2.68, 4 As 2.60-2.84
Mn4 0.7488 0.0000 0.2581  3 As 2.49-2.60, 3 Mn 2.59-2.68, 4 Ir 2.68-2.77
As1 0.4945 0.0000 0.4680  5 Mn 2.49-2.60, 1 Ir 2.63
As2 0.9945 0.5000 0.4680  5 Mn 2.49-2.60, 1 Ir 2.63
Ir1 0.2558 0.0000 0.7722  7 Mn 2.55-2.77, 3 As 2.63-2.83
Ir2 0.7558 0.5000 0.7722  7 Mn 2.55-2.77, 3 As 2.63-2.83

Calculated values
Fermi-level density of states = 1.093 states/eV per atom
uncorrected energy = -7.93 eV per atom
SG = Cm (8)



Record 4
HoZnRh: relaxed, PBE-GGA.

Unit cell a=6.9128 b=4.0509 c=8.0682 alpha=90.00 beta=90.00 gamma=90.00
Closest atoms and distances in Å follow each position.
Atoms (fractional coordinates):
Ho1 0.0384 0.2500 0.1835  5 Rh 2.89-2.93, 5 Zn 3.12-3.17
Ho2 0.4616 0.7500 0.6835  5 Rh 2.89-2.93, 5 Zn 3.12-3.17
Ho3 0.5384 0.2500 0.3165  5 Rh 2.89-2.93, 5 Zn 3.12-3.17
Ho4 0.9616 0.7500 0.8165  5 Rh 2.89-2.93, 5 Zn 3.12-3.17
Zn1 0.1377 0.2500 0.5637  4 Rh 2.63-2.68
Zn2 0.3623 0.7500 0.0637  4 Rh 2.63-2.68
Zn3 0.6377 0.2500 0.9363  4 Rh 2.63-2.68
Zn4 0.8623 0.7500 0.4363  4 Rh 2.63-2.68
Rh1 0.2443 0.7500 0.3771  4 Zn 2.63-2.68, 5 Ho 2.89-2.93
Rh2 0.2557 0.2500 0.8771  4 Zn 2.63-2.68, 5 Ho 2.89-2.93
Rh3 0.7443 0.7500 0.1229  4 Zn 2.63-2.68, 5 Ho 2.89-2.93
Rh4 0.7557 0.2500 0.6229  4 Zn 2.63-2.68, 5 Ho 2.89-2.93

Calculated values
Fermi-level density of states = 0.354 states/eV per atom
uncorrected energy = -5.15 eV per atom
SG = Pnma (62)



Record 5
ReBiSe3: relaxed, PBE-GGA.

Unit cell a=4.9249 b=4.9249 c=4.9249 alpha=90.00 beta=90.00 gamma=90.00
Closest atoms and distances in Å follow each position.
Atoms (fractional coordinates):
Re1 0.0000 0.0000 0.0000  6 Se 2.46
Bi1 0.5000 0.5000 0.5000  12 Se 3.48
Se1 0.0000 0.0000 0.5000  2 Re 2.46
Se2 0.0000 0.5000 0.0000  2 Re 2.46
Se3 0.5000 0.0000 0.0000  2 Re 2.46

Calculated values
Fermi-level density of states = 1.063 states/eV per atom
uncorrected energy = -4.95 eV per atom
SG = Pm-3m (221)



Record 6
K2ZrMn: relaxed, PBE-GGA.

Unit cell a=3.3279 b=5.4939 c=13.1244 alpha=90.00 beta=90.00 gamma=90.00
Closest atoms and distances in Å follow each position.
Atoms (fractional coordinates):
K1 0.0000 0.0000 0.2381  6 K 3.21-3.33, 2 Mn 3.54
K2 0.0000 0.0000 0.7619  6 K 3.21-3.33, 2 Mn 3.54
K3 0.5000 0.5000 0.2381  6 K 3.21-3.33, 2 Mn 3.54
K4 0.5000 0.5000 0.7619  6 K 3.21-3.33, 2 Mn 3.54
Zr1 0.0000 0.5000 0.5000  6 Zr 3.21-3.33
Zr2 0.5000 0.0000 0.5000  6 Zr 3.21-3.33
Mn1 0.0000 0.5000 0.0000  6 Mn 3.21-3.33, 4 K 3.54
Mn2 0.5000 0.0000 0.0000  6 Mn 3.21-3.33, 4 K 3.54

Calculated values
Fermi-level density of states = 1.262 states/eV per atom
uncorrected energy = -3.96 eV per atom
SG = Cmmm (65)



Record 7
BaRe2As: relaxed, PBE-GGA.

Unit cell a=2.9480 b=4.9385 c=6.1202 alpha=90.00 beta=90.80 gamma=90.00
Closest atoms and distances in Å follow each position.
Atoms (fractional coordinates):
Ba1 0.0000 0.0000 0.0000  2 Ba 2.95
Re1 0.4890 0.5000 0.3153  1 Re 2.26
Re2 0.5110 0.5000 0.6847  1 Re 2.26
As1 0.5000 0.0000 0.5000  4 Re 2.72, 2 As 2.95

Calculated values
Fermi-level density of states = 0.686 states/eV per atom
uncorrected energy = -6.93 eV per atom
SG = P2/m (10)



Record 8
Sr2NbBO6: relaxed, PBE-GGA.

Unit cell a=5.6608 b=5.6667 c=5.6677 alpha=104.48 beta=111.94 gamma=111.96
Closest atoms and distances in Å follow each position.
Atoms (fractional coordinates):
Sr1 0.0011 0.2516 0.2496  4 O 2.48-2.49
Sr2 0.9989 0.7484 0.7504  4 O 2.48-2.49
Nb1 0.5000 0.0000 0.5000  6 O 1.96-2.19
B1 0.5000 0.5000 0.0000  2 O 1.28
O1 0.0762 0.8444 0.2338  1 Nb 1.96
O2 0.3893 0.7326 0.6568  1 Nb 1.96
O3 0.4979 0.6836 0.1839  1 B 1.28
O4 0.5021 0.3164 0.8161  1 B 1.28
O5 0.6107 0.2674 0.3432  1 Nb 1.96
O6 0.9238 0.1556 0.7662  1 Nb 1.96

Calculated values
Fermi-level density of states = 0.000 states/eV per atom
uncorrected energy = -7.51 eV per atom
SG = P-1 (2)